A plane-wave DFT calculation with PBE was carried out for a geometry-optimized YMg2Te structure. Values from VASP.

Results
space group	C2/m, No. 12
ΔE_f (raw)	-0.493	eV/atom

```
&SYSTEM
  ibrav = 0, nat = 4, ntyp = 3
/
ATOMIC_SPECIES
Y 88.91 Y.upf
Mg 24.30 Mg.upf
Te 127.60 Te.upf
CELL_PARAMETERS angstrom
-1.6800 -3.5485 5.0986
1.6384 -5.1405 3.5073
2.3939 1.2531 3.7384
ATOMIC_POSITIONS crystal
Y 0.2500 0.2500 0.2500
Mg 0.0116 0.0116 0.9886
Mg 0.4884 0.4884 0.5114
Te 0.7500 0.7500 0.7500
```

A plane-wave DFT calculation with PBE was carried out for a geometry-optimized YMg2Te structure. Values from VASP.

Results
space group	P4/mmm, No. 123
ΔE_f (raw)	-0.424	eV/atom

```
&SYSTEM
  ibrav = 0, nat = 4, ntyp = 3
/
ATOMIC_SPECIES
Mg 24.30 Mg.upf
Y 88.91 Y.upf
Te 127.60 Te.upf
CELL_PARAMETERS angstrom
-3.0060 3.0933 1.1206
-3.1453 -3.1472 0.2504
1.1065 -0.7130 4.9364
ATOMIC_POSITIONS crystal
Mg 0.0000 0.0000 0.0000
Mg 0.5000 0.5000 0.0000
Y 0.0000 0.5000 0.5000
Te 0.5000 0.0000 0.5000
```

Calculated volume
In order: 26.21, 25.37
Unit: Å³ per atom